(1)
The following is a DFT calculation (GGA-PBEsol) of a relaxed structure of Ga3TcAg.

Output
Its energy relative to the elements is 1.163 eV/atom. For the magnetization, the calculation gives 3.4 μB/f.u. The total energy is -18.8 eV for the cell shown.

a b c (Å): 4.748 4.748 4.748
angles (deg): 90.00 90.00 90.00
Space group Pm-3m (No. 221)
One atom of each set of equivalent atoms:
1 Ga 0.000 0.000 0.500 x3
2 Tc 0.500 0.500 0.500 x1
3 Ag 0.000 0.000 0.000 x1


(2)
The following is a DFT calculation (GGA-PBEsol) of a relaxed structure of GaAgTe2.

Output
For the magnetization, the calculation gives 0.0 μB/f.u. As for the formation energy (no corrections): -200 meV per atom. The total energy is -14.5 eV for the cell shown.

a b c (Å): 4.322 4.322 6.379
angles (deg): 90.00 90.00 90.00
Space group P-4m2 (No. 115)
One atom of each set of equivalent atoms:
1 Ga 0.000 0.000 0.000 x1
2 Ag 0.500 0.500 0.500 x1
3 Te 0.000 0.500 0.243 x2


magnetization of number 1 (Ga3TcAg)?
3.4 μB/f.u.